<i>
This record from the Alexandria database describes an optimized crystal structure of BeReAs. The functional is PBE.

Calculated density (g/cm3): 10.27
Density of states at the Fermi level (states/eV per cell): 1.873

Cell: 4.205 4.205 4.941 Å, 90.00 90.00 90.00°
Space group P4/nmm (No. 129, origin choice 2)
One atom of each set of equivalent atoms:
Be 0.250 0.250 0.247 x2
Re 0.250 0.250 0.716 x2
As 0.250 0.750 0.000 x2

=====

<ii>
This record from the Alexandria database describes an optimized crystal structure of BeReAs. The functional is PBE.

Calculated density (g/cm3): 10.77
Density of states at the Fermi level (states/eV per cell): 4.612

Cell: 5.503 5.503 5.503 Å, 90.00 90.00 90.00°
Space group F-43m (No. 216)
One atom of each set of equivalent atoms:
Be 0.000 0.000 0.000 x4
Re 0.250 0.250 0.250 x4
As 0.250 0.250 0.750 x4

=====

It turns out <ii> is the most stable, with the second structure 27 meV/atom higher.

=====

<i>
This record from the Alexandria database describes an optimized crystal structure of BeReAs. The functional is PBE.

Calculated density (g/cm3): 10.48
Density of states at the Fermi level (states/eV per cell): 5.906

Cell: 2.993 4.711 12.147 Å, 90.00 90.00 90.00°
Space group Fmm2 (No. 42)
One atom of each set of equivalent atoms:
Be 0.000 0.000 0.000 x4
Re 0.000 0.000 0.648 x4
As 0.000 0.000 0.329 x4

=====

<ii>
This record from the Alexandria database describes an optimized crystal structure of BeReAs. The functional is PBE.

Calculated density (g/cm3): 10.61
Density of states at the Fermi level (states/eV per cell): 1.253

Cell: 2.9190 2.9190 5.7297 Å, 90.00 90.00 120.00°
Space group P3m1 (No. 156)
One atom of each set of equivalent atoms:
Be 0.0000 0.0000 0.0000 x1
Re 0.6667 0.3333 0.3152 x1
As 0.3333 0.6667 0.6497 x1

=====

<iii>
This record from the Alexandria database describes an optimized crystal structure of BeReAs. The functional is PBE.

Calculated density (g/cm3): 9.63
Density of states at the Fermi level (states/eV per cell): 4.965

Cell: 5.712 5.712 5.712 Å, 90.00 90.00 90.00°
Space group F-43m (No. 216)
One atom of each set of equivalent atoms:
Be 0.000 0.000 0.000 x4
Re 0.250 0.250 0.750 x4
As 0.000 0.000 0.500 x4

=====

It turns out <ii> is the most stable, with the second structure 241 meV/atom higher.

=====

<i>
This record from the Alexandria database describes an optimized crystal structure of BeReAs3. The functional is PBE.

Calculated density (g/cm3): 6.16
Density of states at the Fermi level (states/eV per cell): 3.119

Cell: 4.837 4.837 4.837 Å, 90.00 90.00 90.00°
Space group Pm-3m (No. 221)
One atom of each set of equivalent atoms:
Be 0.000 0.000 0.000 x1
Re 0.500 0.500 0.500 x1
As 0.000 0.500 0.500 x3

=====

<ii>
This record from the Alexandria database describes an optimized crystal structure of BeReAs3. The functional is PBE.

Calculated density (g/cm3): 8.24
Density of states at the Fermi level (states/eV per cell): 3.926

Cell: 4.391 4.391 4.391 Å, 90.00 90.00 90.00°
Space group Pm-3m (No. 221)
One atom of each set of equivalent atoms:
Be 0.000 0.000 0.000 x1
Re 0.500 0.500 0.500 x1
As 0.000 0.000 0.500 x3

=====

It turns out <i> is the most stable, with the second structure 85 meV/atom higher.